# CdRu2O2, relaxed, DFT PBE-GGA
data_CdRu2O2
_space_group_name_H-M_alt 'P 1'
_space_group_IT_number 1
_space_group_name_Hall 'P 1'
_cell_length_a 3.455
_cell_length_b 3.455
_cell_length_c 5.961
_cell_angle_alpha 73.15
_cell_angle_beta 73.15
_cell_angle_gamma 90.00
loop_
_atom_site_label
_atom_site_type_symbol
_atom_site_fract_x
_atom_site_fract_y
_atom_site_fract_z
Ru1 Ru 0.362 0.362 0.276
Ru2 Ru 0.638 0.638 0.724
O1 O 0.750 0.250 0.500
O2 O 0.250 0.750 0.500
Cd1 Cd 0.000 0.000 0.000
# SG = I4/mmm
# Volume = 64.9 Å³ per cell
# Density = 8.9 Mg/m³
# DFT total energy = -5.904 eV/atom

=====

# BaYRh, relaxed, DFT PBE-GGA
data_BaYRh
_space_group_name_H-M_alt 'P 1'
_space_group_IT_number 1
_space_group_name_Hall 'P 1'
_cell_length_a 4.944
_cell_length_b 4.944
_cell_length_c 4.944
_cell_angle_alpha 60.00
_cell_angle_beta 60.00
_cell_angle_gamma 60.00
loop_
_atom_site_label
_atom_site_type_symbol
_atom_site_fract_x
_atom_site_fract_y
_atom_site_fract_z
Ba1 Ba 0.750 0.750 0.750
Rh1 Rh 0.000 0.000 0.000
Y1 Y 0.500 0.500 0.500
# SG = F-43m
# Distance to the lowest polymorph of the same formula = 1093.1 meV/atom
# Volume = 85.4 Å³ per cell
# Density = 6.4 Mg/m³
# DFT total energy = -4.564 eV/atom

=====

# CuNiW3, relaxed, DFT PBE-GGA
data_CuNiW3
_space_group_name_H-M_alt 'P 1'
_space_group_IT_number 1
_space_group_name_Hall 'P 1'
_cell_length_a 4.450
_cell_length_b 4.450
_cell_length_c 4.450
_cell_angle_alpha 90.00
_cell_angle_beta 90.00
_cell_angle_gamma 90.00
loop_
_atom_site_label
_atom_site_type_symbol
_atom_site_fract_x
_atom_site_fract_y
_atom_site_fract_z
Ni1 Ni 0.000 0.000 0.000
Cu1 Cu 0.500 0.500 0.500
W1 W 0.000 0.500 0.000
W2 W 0.000 0.000 0.500
W3 W 0.500 0.000 0.000
# SG = Pm-3m
# Distance to the lowest polymorph of the same formula = 0.0 meV/atom
# Volume = 88.1 Å³ per cell
# Density = 12.7 Mg/m³
# DFT total energy = -8.054 eV/atom

=====

# Pm5Zn2Te, relaxed, DFT PBE-GGA
data_Pm5Zn2Te
_space_group_name_H-M_alt 'P 1'
_space_group_IT_number 1
_space_group_name_Hall 'P 1'
_cell_length_a 8.448
_cell_length_b 8.448
_cell_length_c 8.706
_cell_angle_alpha 119.03
_cell_angle_beta 119.03
_cell_angle_gamma 90.00
loop_
_atom_site_label
_atom_site_type_symbol
_atom_site_fract_x
_atom_site_fract_y
_atom_site_fract_z
Pm1 Pm 0.510 0.703 0.713
Pm2 Pm 0.797 0.990 0.287
Pm3 Pm 0.000 0.000 0.000
Pm4 Pm 0.500 0.500 0.000
Pm5 Pm 0.203 0.010 0.713
Pm6 Pm 0.703 0.203 0.713
Pm7 Pm 0.010 0.510 0.713
Pm8 Pm 0.297 0.797 0.287
Pm9 Pm 0.990 0.490 0.287
Pm10 Pm 0.490 0.297 0.287
Zn1 Zn 0.143 0.357 0.000
Zn2 Zn 0.643 0.143 0.000
Zn3 Zn 0.357 0.857 0.000
Zn4 Zn 0.857 0.643 0.000
Te1 Te 0.750 0.750 0.500
Te2 Te 0.250 0.250 0.500
# SG = I4/mcm
# Volume = 452.0 Å³ per cell
# Density = 7.2 Mg/m³
# DFT total energy = -4.171 eV/atom

=====

# PmTm2Sn, relaxed, DFT PBE-GGA
data_PmTm2Sn
_space_group_name_H-M_alt 'P 1'
_space_group_IT_number 1
_space_group_name_Hall 'P 1'
_cell_length_a 5.396
_cell_length_b 5.396
_cell_length_c 5.396
_cell_angle_alpha 60.00
_cell_angle_beta 60.00
_cell_angle_gamma 60.00
loop_
_atom_site_label
_atom_site_type_symbol
_atom_site_fract_x
_atom_site_fract_y
_atom_site_fract_z
Tm1 Tm 0.250 0.250 0.250
Tm2 Tm 0.750 0.750 0.750
Sn1 Sn 0.500 0.500 0.500
Pm1 Pm 0.000 0.000 0.000
# SG = Fm-3m
# Distance to the lowest polymorph of the same formula = 240.9 meV/atom
# Volume = 111.1 Å³ per cell
# Density = 9.0 Mg/m³
# DFT total energy = -4.606 eV/atom

=====

# TbSmV4, relaxed, DFT PBE-GGA
data_TbSmV4
_space_group_name_H-M_alt 'P 1'
_space_group_IT_number 1
_space_group_name_Hall 'P 1'
_cell_length_a 5.400
_cell_length_b 5.400
_cell_length_c 5.400
_cell_angle_alpha 60.00
_cell_angle_beta 60.00
_cell_angle_gamma 60.00
loop_
_atom_site_label
_atom_site_type_symbol
_atom_site_fract_x
_atom_site_fract_y
_atom_site_fract_z
Tb1 Tb 0.000 0.000 0.000
Sm1 Sm 0.250 0.250 0.250
V1 V 0.629 0.629 0.113
V2 V 0.629 0.113 0.629
V3 V 0.629 0.629 0.629
V4 V 0.113 0.629 0.629
# SG = F-43m
# Volume = 111.3 Å³ per cell
# Density = 7.7 Mg/m³
# DFT total energy = -7.247 eV/atom

=====

# SrNdBiI, relaxed, DFT PBE-GGA
data_SrNdBiI
_space_group_name_H-M_alt 'P 1'
_space_group_IT_number 1
_space_group_name_Hall 'P 1'
_cell_length_a 4.982
_cell_length_b 4.982
_cell_length_c 16.357
_cell_angle_alpha 81.24
_cell_angle_beta 81.24
_cell_angle_gamma 60.00
loop_
_atom_site_label
_atom_site_type_symbol
_atom_site_fract_x
_atom_site_fract_y
_atom_site_fract_z
Sr1 Sr 0.593 0.593 0.221
Sr2 Sr 0.407 0.407 0.779
Nd1 Nd 0.810 0.810 0.570
Nd2 Nd 0.190 0.190 0.430
Bi1 Bi 0.116 0.116 0.653
Bi2 Bi 0.884 0.884 0.347
I1 I 0.705 0.705 0.884
I2 I 0.295 0.295 0.116
# SG = R-3m
# Volume = 346.1 Å³ per cell
# Density = 5.4 Mg/m³
# DFT total energy = -4.001 eV/atom

=====

# TlTeI2N, relaxed, DFT PBE-GGA
data_TlTeI2N
_space_group_name_H-M_alt 'P 1'
_space_group_IT_number 1
_space_group_name_Hall 'P 1'
_cell_length_a 5.273
_cell_length_b 5.273
_cell_length_c 4.898
_cell_angle_alpha 90.00
_cell_angle_beta 90.00
_cell_angle_gamma 90.00
loop_
_atom_site_label
_atom_site_type_symbol
_atom_site_fract_x
_atom_site_fract_y
_atom_site_fract_z
I1 I 0.000 0.500 0.000
I2 I 0.500 0.000 0.000
Tl1 Tl 0.500 0.500 0.500
Te1 Te 0.000 0.000 0.500
N1 N 0.000 0.000 0.000
# SG = P4/mmm
# Distance to the lowest polymorph of the same formula = 304.8 meV/atom
# Volume = 136.2 Å³ per cell
# Density = 7.3 Mg/m³
# DFT total energy = -2.769 eV/atom